An optimized crystal structure of Sm2EuF. Source: Alexandria, functional PBE.

Results
Space group: R-3m (166)
Raw formation energy, meV/atom: -953

abc: 3.7692 3.7692 9.7570
angles: 78.86 78.86 60.00
Last column: nearest neighbours and their distance in Å.
Fractional coordinates of all 4 atoms:
Eu 0.0000 0.0000 0.0000  2 Sm 3.39, 6 Eu 3.77
Sm 0.1190 0.1190 0.6431  3 F 2.57
Sm 0.8810 0.8810 0.3569  3 F 2.57
F 0.5000 0.5000 0.5000  6 Sm 2.57